SrH3Pt after structural relaxation. Source: OQMD via LeMat-Bulk, functional PBE.

Values from the calculation:
space group: Pm-3m
DFT total energy: -4.122 eV per atom
total magnetization: 0.0 μB per cell

Structure (extended XYZ):
```
5
Lattice="3.828 0.000 0.000 0.000 3.828 0.000 0.000 0.000 3.828" Properties=species:S:1:pos:R:3 pbc="T T T"
Sr 0.000 0.000 0.000
H 0.000 1.914 1.914
H 1.914 0.000 1.914
H 1.914 1.914 0.000
Pt 1.914 1.914 1.914
```